*P*
First-principles (PBE-GGA) data for a relaxed ZrFeRh3 crystal, as listed in Alexandria.

abc: 4.4663 4.4663 4.4663
angles: 90.00 90.00 90.00
With the nearest neighbours (Å) after each atom.
Atoms (fractional coordinates):
Rh  0.0000  0.5000  0.0000  2 Fe 2.23
Rh  0.0000  0.0000  0.5000  2 Fe 2.23
Rh  0.5000  0.0000  0.0000  2 Fe 2.23
Fe  0.0000  0.0000  0.0000  6 Rh 2.23
Zr  0.5000  0.5000  0.5000  12 Rh 3.16

Computed properties:
M_tot = 4.0 Bohr magnetons per cell
D(E_F) = 3.5 states/eV/cell


*Q*
First-principles (PBE-GGA) data for a relaxed ZrFeRh3 crystal, as listed in Alexandria.

abc: 4.7516 4.7516 4.7516
angles: 90.00 90.00 90.00
With the nearest neighbours (Å) after each atom.
Atoms (fractional coordinates):
Rh  0.0000  0.5000  0.0000  2 Zr 2.38
Rh  0.0000  0.0000  0.5000  2 Zr 2.38
Rh  0.5000  0.0000  0.0000  2 Zr 2.38
Fe  0.5000  0.5000  0.5000  12 Rh 3.36
Zr  0.0000  0.0000  0.0000  6 Rh 2.38

Computed properties:
M_tot = 4.1 Bohr magnetons per cell
D(E_F) = 7.3 states/eV/cell


Stability, lowest: *Q*


*P*
First-principles (PBE-GGA) data for a relaxed Fe5Ru crystal, as listed in Alexandria.

abc: 4.6467 4.6467 4.6467
angles: 60.00 60.00 60.00
With the nearest neighbours (Å) after each atom.
Atoms (fractional coordinates):
Fe  0.8730  0.3757  0.3757  6 Fe 2.31-2.34
Fe  0.7500  0.7500  0.7500  12 Fe 2.72, 4 Ru 2.85
Fe  0.3757  0.8730  0.3757  6 Fe 2.31-2.34
Fe  0.3757  0.3757  0.3757  6 Fe 2.31-2.34
Fe  0.3757  0.3757  0.8730  6 Fe 2.31-2.34
Ru  0.0000  0.0000  0.0000  16 Fe 2.73-2.85

Computed properties:
M_tot = 9.0 Bohr magnetons per cell
D(E_F) = 12.1 states/eV/cell


*Q*
First-principles (PBE-GGA) data for a relaxed Fe5Ru crystal, as listed in Alexandria.

abc: 6.7136 6.7136 4.0179
angles: 90.00 90.00 158.28
With the nearest neighbours (Å) after each atom.
Atoms (fractional coordinates):
Fe  0.0031  0.9969  0.0000  10 Fe 2.49-2.63, 2 Ru 2.51
Fe  0.6670  0.3330  0.0000  12 Fe 2.46-2.53
Fe  0.3282  0.6718  0.0000  8 Fe 2.47-2.63, 4 Ru 2.51
Fe  0.5595  0.4405  0.5000  10 Fe 2.46-2.53, 2 Ru 2.58
Fe  0.2196  0.7804  0.5000  10 Fe 2.46-2.53, 2 Ru 2.57
Ru  0.8894  0.1106  0.5000  10 Fe 2.51-2.58, 2 Ru 2.53

Computed properties:
M_tot = 0.6 Bohr magnetons per cell
D(E_F) = 6.7 states/eV/cell


*R*
First-principles (PBE-GGA) data for a relaxed Fe5Ru crystal, as listed in Alexandria.

abc: 3.5484 3.5706 5.8760
angles: 107.69 90.00 90.00
With the nearest neighbours (Å) after each atom.
Atoms (fractional coordinates):
Ru  0.0000  0.0000  0.0000  12 Fe 2.52-2.58
Fe  0.0000  0.6662  0.3324  10 Fe 2.52-2.59, 2 Ru 2.58
Fe  0.0000  0.3338  0.6676  10 Fe 2.52-2.59, 2 Ru 2.58
Fe  0.5000  0.5000  0.0000  4 Ru 2.52, 8 Fe 2.57
Fe  0.5000  0.1653  0.3306  10 Fe 2.52-2.60, 2 Ru 2.56
Fe  0.5000  0.8347  0.6694  10 Fe 2.52-2.60, 2 Ru 2.56

Computed properties:
M_tot = 5.9 Bohr magnetons per cell
D(E_F) = 6.6 states/eV/cell


Stability, lowest: *P*


*P*
First-principles (PBE-GGA) data for a relaxed Fe5Ru crystal, as listed in Alexandria.

abc: 4.5884 4.5884 4.0486
angles: 90.00 90.00 120.00
With the nearest neighbours (Å) after each atom.
Atoms (fractional coordinates):
Fe  0.0000  0.5000  0.5000  8 Fe 2.29-2.42
Fe  0.3333  0.6667  0.0000  9 Fe 2.42-2.65, 3 Ru 2.65
Fe  0.5000  0.0000  0.5000  8 Fe 2.29-2.42
Fe  0.5000  0.5000  0.5000  8 Fe 2.29-2.42
Fe  0.6667  0.3333  0.0000  9 Fe 2.42-2.65, 3 Ru 2.65
Ru  0.0000  0.0000  0.0000  6 Fe 2.65

Computed properties:
M_tot = 9.6 Bohr magnetons per cell
D(E_F) = 9.2 states/eV/cell


*Q*
First-principles (PBE-GGA) data for a relaxed Fe5Ru crystal, as listed in Alexandria.

abc: 4.7003 4.7003 5.8775
angles: 76.92 76.92 31.31
With the nearest neighbours (Å) after each atom.
Atoms (fractional coordinates):
Fe  0.0020  0.0020  0.0045  9 Fe 2.44-2.54, 3 Ru 2.45-2.48
Fe  0.6079  0.6079  0.2829  10 Fe 2.38-2.54, 2 Ru 2.56
Fe  0.3326  0.3326  0.3392  11 Fe 2.43-2.54, 1 Ru 2.49
Fe  0.9475  0.9475  0.6047  10 Fe 2.42-2.54, 2 Ru 2.54
Fe  0.6641  0.6641  0.6595  10 Fe 2.38-2.54, 2 Ru 2.51
Ru  0.2793  0.2793  0.9425  10 Fe 2.45-2.56, 2 Ru 2.54

Computed properties:
M_tot = 0.0 Bohr magnetons per cell
D(E_F) = 8.5 states/eV/cell


Stability, lowest: *P*


*P*
First-principles (PBE-GGA) data for a relaxed Fe3Ru4 crystal, as listed in Alexandria.

abc: 12.7722 12.7722 12.7722
angles: 167.58 167.58 17.60
With the nearest neighbours (Å) after each atom.
Atoms (fractional coordinates):
Fe  0.0000  0.0000  0.0000  8 Fe 2.46
Fe  0.4411  0.4411  0.0000  4 Fe 2.46, 4 Ru 2.51
Fe  0.5589  0.5589  0.0000  4 Fe 2.46, 4 Ru 2.51
Ru  0.1216  0.1216  0.0000  1 Ru 2.41, 4 Fe 2.51
Ru  0.2172  0.2172  0.0000  5 Ru 2.41-2.56
Ru  0.7828  0.7828  0.0000  5 Ru 2.41-2.56
Ru  0.8784  0.8784  0.0000  1 Ru 2.41, 4 Fe 2.51

Computed properties:
M_tot = 5.8 Bohr magnetons per cell
D(E_F) = 6.5 states/eV/cell


*Q*
First-principles (PBE-GGA) data for a relaxed Fe3Ru4 crystal, as listed in Alexandria.

abc: 4.6010 4.6010 4.9092
angles: 90.00 90.00 120.00
With the nearest neighbours (Å) after each atom.
Atoms (fractional coordinates):
Fe  0.0000  0.5000  0.0000  4 Fe 2.30
Fe  0.5000  0.5000  0.0000  4 Fe 2.30
Fe  0.5000  0.0000  0.0000  4 Fe 2.30
Ru  0.0000  0.0000  0.2568  2 Ru 2.39-2.52, 6 Fe 2.62
Ru  0.0000  0.0000  0.7432  2 Ru 2.39-2.52, 6 Fe 2.62
Ru  0.6667  0.3333  0.5000  9 Ru 2.66-2.91, 6 Fe 2.79
Ru  0.3333  0.6667  0.5000  9 Ru 2.66-2.91, 6 Fe 2.79

Computed properties:
M_tot = 5.2 Bohr magnetons per cell
D(E_F) = 10.2 states/eV/cell


Stability, lowest: *P*


*P*
First-principles (PBE-GGA) data for a relaxed Fe3RuS crystal, as listed in Alexandria.

abc: 4.6014 4.6014 4.6014
angles: 90.00 90.00 90.00
With the nearest neighbours (Å) after each atom.
Atoms (fractional coordinates):
Ru  0.0000  0.0000  0.0000  6 Fe 2.30
S  0.5000  0.5000  0.5000  12 Fe 3.25
Fe  0.0000  0.5000  0.0000  2 Ru 2.30
Fe  0.0000  0.0000  0.5000  2 Ru 2.30
Fe  0.5000  0.0000  0.0000  2 Ru 2.30

Computed properties:
M_tot = 10.8 Bohr magnetons per cell
D(E_F) = 8.1 states/eV/cell


*Q*
First-principles (PBE-GGA) data for a relaxed Fe3RuS crystal, as listed in Alexandria.

abc: 4.0211 4.0211 4.0211
angles: 90.00 90.00 90.00
With the nearest neighbours (Å) after each atom.
Atoms (fractional coordinates):
Ru  0.5000  0.5000  0.5000  12 Fe 2.84
S  0.0000  0.0000  0.0000  6 Fe 2.01
Fe  0.0000  0.5000  0.0000  2 S 2.01
Fe  0.0000  0.0000  0.5000  2 S 2.01
Fe  0.5000  0.0000  0.0000  2 S 2.01

Computed properties:
M_tot = 0.0 Bohr magnetons per cell
D(E_F) = 17.2 states/eV/cell


Stability, lowest: *P*


*P*
First-principles (PBE-GGA) data for a relaxed FeRuS2 crystal, as listed in Alexandria.

abc: 5.0692 5.0692 6.2211
angles: 65.96 65.96 90.00
With the nearest neighbours (Å) after each atom.
Atoms (fractional coordinates):
Ru  0.0000  0.0000  0.0000  4 S 2.26
Ru  0.7500  0.2500  0.5000  4 S 2.26
S  0.6047  0.1250  0.2500  2 Fe 2.14, 2 Ru 2.26
S  0.1453  0.6250  0.2500  2 Fe 2.14, 2 Ru 2.26
S  0.3750  0.3953  0.7500  2 Fe 2.14, 2 Ru 2.26
S  0.8750  0.8547  0.7500  2 Fe 2.14, 2 Ru 2.26
Fe  0.5000  0.5000  0.0000  4 S 2.14
Fe  0.2500  0.7500  0.5000  4 S 2.14

Computed properties:
M_tot = 1.5 Bohr magnetons per cell
D(E_F) = 5.8 states/eV/cell


*Q*
First-principles (PBE-GGA) data for a relaxed FeRuS2 crystal, as listed in Alexandria.

abc: 4.1947 4.1947 4.1947
angles: 60.00 60.00 60.00
With the nearest neighbours (Å) after each atom.
Atoms (fractional coordinates):
Ru  0.5000  0.5000  0.5000  8 S 2.57
S  0.2500  0.2500  0.2500  4 Fe 2.57, 4 Ru 2.57
S  0.7500  0.7500  0.7500  4 Fe 2.57, 4 Ru 2.57
Fe  0.0000  0.0000  0.0000  8 S 2.57

Computed properties:
M_tot = 2.6 Bohr magnetons per cell
D(E_F) = 3.3 states/eV/cell


Stability, lowest: *Q*